The following is a PBE calculation of crystalline LaSmTmTl at its relaxed geometry, from Alexandria.

Unit cell a=5.5881 b=5.5881 c=5.5881 alpha=60.00 beta=60.00 gamma=60.00
Last column: nearest neighbours and their distance in Å.
Atoms (fractional coordinates):
La (0.0000, 0.0000, 0.0000)  4 Tm 3.42, 4 Tl 3.42
Sm (0.5000, 0.5000, 0.5000)  4 Tl 3.42, 4 Tm 3.42
Tm (0.7500, 0.7500, 0.7500)  4 Sm 3.42, 4 La 3.42
Tl (0.2500, 0.2500, 0.2500)  4 Sm 3.42, 4 La 3.42

Magnetization, μB/f.u.: 1.01
Energy above the lowest structure with this stoichiometry, eV/atom: 0.000
Space-group type: No. 216
Electronic total energy, eV per cell: -16.82
DFT formation energy, eV per atom: -0.085